Entry 1:
A geometry-optimized YTeAs structure. Source: Alexandria, functional PBE.

Cell: 6.981 6.981 6.981 Å, 90.00 90.00 90.00°
Space group F-43m (No. 216)
One atom of each set of equivalent atoms:
Y (0.000, 0.000, 0.000)
Te (0.000, 0.000, 0.500)
As (0.250, 0.250, 0.750)

Output
M_tot in μB per formula unit: 0.00
Formation energy (no corrections) in eV per formula unit: -1.39
E in eV/cell: -62.57

***

Entry 2:
A geometry-optimized YTe2As structure. Source: Alexandria, functional PBE.

Cell: 11.159 3.896 5.264 Å, 90.00 93.91 90.00°
Space group Cm (No. 8)
One atom of each set of equivalent atoms:
Y (0.000, 0.000, 0.000)
Te (0.221, 0.500, 0.173)
Te (0.498, 0.000, 0.516)
As (0.298, 0.000, 0.812)

Output
M_tot in μB per formula unit: 0.00
Formation energy (no corrections) in eV per formula unit: -2.39
E in eV/cell: -39.58

***

Entry 3:
A geometry-optimized YTe2As structure. Source: Alexandria, functional PBE.

Cell: 5.610 5.610 17.706 Å, 90.00 90.00 90.00°
Space group I-42d (No. 122)
One atom of each set of equivalent atoms:
Y (0.000, 0.000, 0.000)
Te (0.230, 0.250, 0.625)
As (0.000, 0.000, 0.500)

Output
M_tot in μB per formula unit: 0.00
Formation energy (no corrections) in eV per formula unit: -1.14
E in eV/cell: -74.16

***

Entry 4:
A geometry-optimized YTeAs structure. Source: Alexandria, functional PBE.

Cell: 7.115 7.115 7.115 Å, 90.00 90.00 90.00°
Space group F-43m (No. 216)
One atom of each set of equivalent atoms:
Y (0.000, 0.000, 0.000)
Te (0.250, 0.250, 0.250)
As (0.250, 0.250, 0.750)

Output
M_tot in μB per formula unit: 0.00
Formation energy (no corrections) in eV per formula unit: -1.88
E in eV/cell: -64.54

***

Entry 5:
A geometry-optimized YTeAs structure. Source: Alexandria, functional PBE.

Cell: 3.941 3.941 10.498 Å, 90.00 90.00 90.00°
Space group I4mm (No. 107)
One atom of each set of equivalent atoms:
Y (0.000, 0.000, 0.000)
Te (0.000, 0.000, 0.330)
As (0.000, 0.000, 0.590)

Output
M_tot in μB per formula unit: 0.00
Formation energy (no corrections) in eV per formula unit: -2.67
E in eV/cell: -33.85

***

Entry 6:
A geometry-optimized YTe2As structure. Source: Alexandria, functional PBE.

Cell: 6.319 9.053 5.194 Å, 90.00 126.93 90.00°
Space group C2/m (No. 12)
One atom of each set of equivalent atoms:
Y (0.000, 0.000, 0.000)
Te (0.250, 0.250, 0.500)
As (0.000, 0.500, 0.000)

Output
M_tot in μB per formula unit: 0.00
Formation energy (no corrections) in eV per formula unit: -2.15
E in eV/cell: -39.10

***

Entry 7:
A geometry-optimized YTe2As structure. Source: Alexandria, functional PBE.

Cell: 4.199 3.934 6.683 Å, 90.00 101.63 90.00°
Space group P2/m (No. 10)
One atom of each set of equivalent atoms:
Y (0.000, 0.000, 0.000)
Te (0.384, 0.500, 0.750)
As (0.000, 0.000, 0.500)

Output
M_tot in μB per formula unit: 0.00
Formation energy (no corrections) in eV per formula unit: -2.44
E in eV/cell: -19.84

***

Entry 8:
A geometry-optimized Zn2TeAs2 structure. Source: Alexandria, functional PBE.

Cell: 3.847 3.847 14.216 Å, 90.00 90.00 90.00°
Space group I4/mmm (No. 139)
One atom of each set of equivalent atoms:
Zn (0.000, 0.500, 0.250)
Te (0.000, 0.000, 0.000)
As (0.000, 0.000, 0.375)

Output
M_tot in μB per formula unit: 0.00
Formation energy (no corrections) in eV per formula unit: 0.90
E above lowest polymorph in meV/atom: 36
E in eV/cell: -28.17

***

Entry 9:
A geometry-optimized ZnTeAs structure. Source: Alexandria, functional PBE.

Cell: 3.2589 3.2589 7.9554 Å, 90.00 90.00 120.00°
Space group P3m1 (No. 156)
One atom of each set of equivalent atoms:
Zn (0.0000, 0.0000, 0.0000)
Te (0.3333, 0.6667, 0.7184)
As (0.6667, 0.3333, 0.2332)

Output
M_tot in μB per formula unit: 0.00
Formation energy (no corrections) in eV per formula unit: 0.64
E above lowest polymorph in meV/atom: 171
E in eV/cell: -8.42

***

Entry 10:
A geometry-optimized ZnTeAs structure. Source: Alexandria, functional PBE.

Cell: 8.515 3.512 11.947 Å, 90.00 107.90 90.00°
Space group C2/m (No. 12)
One atom of each set of equivalent atoms:
Zn (0.211, 0.000, 0.310)
Te (0.071, 0.000, 0.855)
As (0.077, 0.000, 0.629)

Output
M_tot in μB per formula unit: 0.00
Formation energy (no corrections) in eV per formula unit: 0.13
E above lowest polymorph in meV/atom: 0
E in eV/cell: -35.74

***

Entry 11:
A geometry-optimized ZnTeAs4 structure. Source: Alexandria, functional PBE.

Cell: 8.465 8.465 8.465 Å, 90.00 90.00 90.00°
Space group F-43m (No. 216)
One atom of each set of equivalent atoms:
Zn (0.000, 0.000, 0.000)
Te (0.250, 0.250, 0.250)
As (0.144, 0.144, 0.644)

Output
M_tot in μB per formula unit: 0.00
Formation energy (no corrections) in eV per formula unit: 2.73
E in eV/cell: -81.15

***

Entry 12:
A geometry-optimized ZnTeAs structure. Source: Alexandria, functional PBE.

Cell: 6.628 6.628 6.628 Å, 90.00 90.00 90.00°
Space group F-43m (No. 216)
One atom of each set of equivalent atoms:
Zn (0.000, 0.000, 0.000)
Te (0.250, 0.250, 0.250)
As (0.250, 0.250, 0.750)

Output
M_tot in μB per formula unit: 0.00
Formation energy (no corrections) in eV per formula unit: 0.78
E above lowest polymorph in meV/atom: 218
E in eV/cell: -33.13